Record 1
Pr12Y7Sc | GGA-PBE | relaxed

```
data_Pr12Y7Sc
_chemical_formula_sum 'Pr12 Y7 Sc1'
_cell_length_a 6.267
_cell_length_b 11.599
_cell_length_c 11.599
_cell_angle_alpha 116.83
_cell_angle_beta 100.38
_cell_angle_gamma 100.38
_symmetry_space_group_name_H-M 'P 1'
_symmetry_Int_Tables_number 1
loop_
_symmetry_equiv_pos_as_xyz
'x,y,z'
loop_
_atom_site_label
_atom_site_fract_x
_atom_site_fract_y
_atom_site_fract_z
Y1 0.638 0.759 0.760
Y2 0.362 0.241 0.240
Y3 0.879 0.000 0.241
Y4 0.500 0.000 0.000
Y5 0.121 0.000 0.759
Y6 0.121 0.760 0.000
Y7 0.879 0.240 0.000
Sc1 0.000 0.000 0.000
Pr1 0.089 0.588 0.176
Pr2 0.499 0.412 0.588
Pr3 0.913 0.824 0.412
Pr4 0.065 0.646 0.647
Pr5 0.501 0.588 0.412
Pr6 0.419 0.353 0.000
Pr7 0.087 0.176 0.588
Pr8 0.419 0.000 0.354
Pr9 0.935 0.354 0.353
Pr10 0.911 0.412 0.824
Pr11 0.581 0.647 0.000
Pr12 0.581 0.000 0.646
```

E above lowest polymorph	52	meV per atom
formation energy from the elements	0.1985	eV per atom

***

Record 2
TaCuTe2 | GGA-PBE | relaxed

```
data_TaCuTe2
_chemical_formula_sum 'Ta1 Cu1 Te2'
_cell_length_a 4.852
_cell_length_b 4.852
_cell_length_c 5.647
_cell_angle_alpha 85.10
_cell_angle_beta 85.10
_cell_angle_gamma 42.47
_symmetry_space_group_name_H-M 'P 1'
_symmetry_Int_Tables_number 1
loop_
_symmetry_equiv_pos_as_xyz
'x,y,z'
loop_
_atom_site_label
_atom_site_fract_x
_atom_site_fract_y
_atom_site_fract_z
Te1 0.957 0.957 0.018
Te2 0.543 0.543 0.482
Cu1 0.750 0.750 0.750
Ta1 0.250 0.250 0.250
```

raw formation energy	0.26	eV per atom